A plane-wave DFT calculation with GGA-PBE was carried out for a geometry-optimized NaZr2FeBr structure.

```
NaZr2FeBr
1.0
5.2334 0.0000 0.0000
0.0000 4.4196 0.0000
0.0000 0.0000 5.2334
Na Br Fe Zr
1 1 1 2
direct
0.0000 0.0000 0.0000
0.5000 0.5000 0.5000
0.0000 0.5000 0.0000
0.5000 0.0000 0.0000
0.0000 0.0000 0.5000
```

## Properties
The calculation puts the density of states at the Fermi level at 7.3 states/eV per cell. The raw formation energy is 1511 meV/atom.


A plane-wave DFT calculation with GGA-PBE was carried out for a geometry-optimized CeErTm2Se6 structure.

```
CeErTm2Se6
1.0
7.2232 0.0000 0.0003
3.6116 6.2555 0.0001
3.6114 2.0853 6.4549
Se Tm Ce Er
6 2 1 1
direct
0.6118 0.2300 0.2461
0.2300 0.9121 0.2461
0.1327 0.3914 0.7487
0.7273 0.1327 0.7487
0.9121 0.6118 0.2461
0.3913 0.7273 0.7487
0.0110 0.0110 0.9671
0.5146 0.5146 0.4560
0.8125 0.8125 0.5625
0.3183 0.3183 0.0452
```

## Properties
The calculation puts the density of states at the Fermi level at 4.9 states/eV per cell. The raw formation energy is -1810 meV/atom.


A plane-wave DFT calculation with GGA-PBE was carried out for a geometry-optimized Y2ScAl structure.

```
Y2ScAl
1.0
-0.1088 2.7101 -2.1325
-0.7797 -2.0977 -2.6260
-8.5357 1.0140 1.7243
Sc Al Y
1 1 2
direct
0.5000 0.5000 0.7093
0.0000 0.0000 0.5168
0.0000 0.0000 0.9836
0.5000 0.5000 0.2903
```

## Properties
The calculation puts the density of states at the Fermi level at 4.6 states/eV per cell. The value obtained for the energy of formation from the pure elements is -0.197 eV per atom.


A plane-wave DFT calculation with GGA-PBE was carried out for a geometry-optimized Pm6Pr8Er structure.

```
Pm6Pr8Er
1.0
-7.4677 0.6569 4.7667
0.8838 -0.1746 8.8379
-1.3288 7.6642 4.2912
Er Pr Pm
1 8 6
direct
0.0000 0.0000 0.0000
0.8866 0.2837 0.2481
0.2837 0.2481 0.8866
0.1134 0.7163 0.7519
0.2481 0.8866 0.2837
0.7519 0.1134 0.7163
0.4218 0.4218 0.4218
0.7163 0.7519 0.1134
0.5782 0.5782 0.5782
0.4602 0.7581 0.9029
0.9029 0.4602 0.7581
0.7581 0.9029 0.4602
0.0971 0.5398 0.2419
0.2419 0.0971 0.5398
0.5398 0.2419 0.0971
```

## Properties
The calculation puts the density of states at the Fermi level at 22.6 states/eV per cell. The value obtained for the energy of formation from the pure elements is 0.110 eV per atom.


A plane-wave DFT calculation with GGA-PBE was carried out for a geometry-optimized DyNb2S6 structure.

```
DyNb2S6
1.0
-0.6231 2.1381 3.9721
-1.7716 -4.3037 4.6491
6.7417 -1.6975 4.5817
S Nb Dy
6 2 1
direct
0.3025 0.3448 0.0503
0.6975 0.6552 0.9497
0.0206 0.1641 0.7948
0.9794 0.8359 0.2052
0.6512 0.3102 0.3875
0.3488 0.6898 0.6125
0.1668 0.7777 0.8886
0.8332 0.2223 0.1114
0.0000 0.5000 0.5000
```

## Properties
The calculation puts the density of states at the Fermi level at 5.4 states/eV per cell. The raw formation energy is -1037 meV/atom.


A plane-wave DFT calculation with GGA-PBE was carried out for a geometry-optimized SrZr2Cr structure.

```
SrZr2Cr
1.0
-8.2903 5.4114 -2.4907
-8.8891 4.9568 0.7940
-6.9244 7.4979 -0.2247
Zr Sr Cr
2 1 1
direct
0.5222 0.5222 0.5222
0.9778 0.9778 0.9778
0.7500 0.7500 0.7500
0.2500 0.2500 0.2500
```

## Properties
The calculation puts the density of states at the Fermi level at 4.7 states/eV per cell. For the energy above the most stable polymorph in this dataset, the calculation gives 226.1 meV per atom. The value obtained for the energy of formation from the pure elements is 0.563 eV per atom.


A plane-wave DFT calculation with GGA-PBE was carried out for a geometry-optimized Nd2NpGaN5 structure.

```
Nd2NpGaN5
1.0
3.4400 0.0000 0.0000
-1.7200 7.0610 0.0000
0.0000 0.0000 10.3803
Nd N Np Ga
4 10 2 2
direct
0.8934 0.7867 0.1944
0.1252 0.2504 0.2993
0.8748 0.7496 0.7993
0.1066 0.2133 0.6944
0.4984 0.9967 0.7838
0.0578 0.1156 0.0447
0.9422 0.8844 0.5447
0.2974 0.5949 0.3811
0.5016 0.0033 0.2838
0.2824 0.5648 0.6383
0.7026 0.4051 0.8811
0.6349 0.2698 0.5037
0.7176 0.4352 0.1383
0.3651 0.7302 0.0037
0.2132 0.4263 0.0091
0.7868 0.5737 0.5091
0.5162 0.0324 0.9697
0.4838 0.9676 0.4697
```

## Properties
The calculation puts the density of states at the Fermi level at 3.6 states/eV per cell. The raw formation energy is -1007 meV/atom.


A plane-wave DFT calculation with GGA-PBE was carried out for a geometry-optimized CdP2H6F structure.

```
CdP2H6F
1.0
6.8121 -0.2027 -0.5043
-1.0352 6.7361 -0.5043
-2.1399 -2.4201 6.1792
H F P Cd
12 2 4 2
direct
0.4732 0.2662 0.9876
0.5268 0.7338 0.0124
0.1822 0.5286 0.1779
0.7338 0.5268 0.5124
0.3941 0.9113 0.7343
0.2662 0.4732 0.4876
0.4714 0.8178 0.3221
0.9113 0.3941 0.2343
0.6059 0.0887 0.2657
0.5286 0.1822 0.6779
0.8178 0.4714 0.8221
0.0887 0.6059 0.7657
0.5858 0.4142 0.2500
0.4142 0.5858 0.7500
0.3556 0.1093 0.7322
0.1093 0.3556 0.2322
0.8907 0.6444 0.7678
0.6444 0.8907 0.2678
0.0602 0.9398 0.2500
0.9398 0.0602 0.7500
```

## Properties
The calculation puts the density of states at the Fermi level at 0.9 states/eV per cell. The calculation puts the calculated total energy at -3.573 eV/atom.


A plane-wave DFT calculation with GGA-PBE was carried out for a geometry-optimized MnSb3As structure.

```
MnSb3As
1.0
5.2811 0.0000 0.0000
0.0000 5.2811 0.0000
0.0000 0.0000 5.2811
Mn Sb As
1 3 1
direct
0.5000 0.5000 0.5000
0.0000 0.0000 0.5000
0.5000 0.0000 0.0000
0.0000 0.5000 0.0000
0.0000 0.0000 0.0000
```

## Properties
The calculation puts the density of states at the Fermi level at 5.1 states/eV per cell. The raw formation energy is 1409 meV/atom. For the energy above the most stable polymorph in this dataset, the calculation gives 975.2 meV per atom.


A plane-wave DFT calculation with GGA-PBE was carried out for a geometry-optimized ZrUTaN3 structure.

```
ZrUTaN3
1.0
-1.0394 1.5945 -2.4778
-3.0516 -5.7368 -2.4116
-6.6282 1.9810 4.0551
N Ta Zr U
6 2 2 2
direct
0.2500 0.1372 0.8625
0.7500 0.3828 0.1294
0.7500 0.1483 0.4011
0.7500 0.8628 0.1375
0.2500 0.8517 0.5989
0.2500 0.6172 0.8706
0.2500 0.1573 0.5816
0.7500 0.8427 0.4184
0.2500 0.6213 0.1442
0.7500 0.3787 0.8558
0.2500 0.1354 0.1687
0.7500 0.8646 0.8313
```

## Properties
The calculation puts the density of states at the Fermi level at 9.4 states/eV per cell. The raw formation energy is -1147 meV/atom.


A plane-wave DFT calculation with GGA-PBE was carried out for a geometry-optimized ZnHSe2N structure.

```
ZnHSe2N
1.0
-0.1881 -3.0087 -4.2381
-2.3023 -3.7539 2.7671
-3.2884 1.3946 -0.8441
Zn H Se N
1 1 2 1
direct
0.0000 0.0000 0.0000
0.5000 0.5000 0.5000
0.0000 0.5000 0.0000
0.5000 0.0000 0.0000
0.0000 0.0000 0.5000
```

## Properties
The calculation puts the density of states at the Fermi level at 4.9 states/eV per cell. For the energy above the most stable polymorph in this dataset, the calculation gives 561.7 meV per atom.


A plane-wave DFT calculation with GGA-PBE was carried out for a geometry-optimized TaGaMoIr structure.

```
TaGaMoIr
1.0
-2.6934 3.3512 -1.2061
-4.4223 -0.6121 -0.0912
-2.5923 1.9873 3.0447
Ir Ga Ta Mo
1 1 1 1
direct
0.2500 0.2500 0.2500
0.5000 0.5000 0.5000
0.0000 0.0000 0.0000
0.7500 0.7500 0.7500
```

## Properties
The calculation puts the density of states at the Fermi level at 4.0 states/eV per cell. The value obtained for the energy of formation from the pure elements is -0.280 eV per atom.


A plane-wave DFT calculation with GGA-PBE was carried out for a geometry-optimized CaAg2HPb structure.

```
CaAg2HPb
1.0
-1.6245 -1.0717 4.1983
4.0083 -2.0744 1.0214
1.5989 3.8819 1.6096
Pb Ca Ag H
1 1 2 1
direct
0.5000 0.5000 0.5000
0.0000 0.0000 0.5000
0.0000 0.5000 0.0000
0.5000 0.0000 0.0000
0.0000 0.0000 0.0000
```

## Properties
The calculation puts the density of states at the Fermi level at 2.2 states/eV per cell. The calculation puts the calculated total energy at -3.038 eV/atom.


A plane-wave DFT calculation with GGA-PBE was carried out for a geometry-optimized Mg12Sn2Pb5 structure.

```
Mg12Sn2Pb5
1.0
-3.2800 3.1971 -5.2206
-6.0844 -4.8569 5.4679
2.3989 8.5229 3.7123
Pb Mg Sn
5 12 2
direct
0.6804 0.3607 0.8171
0.6741 0.3481 0.3272
0.3196 0.6393 0.1829
0.0000 0.0000 0.5000
0.3259 0.6519 0.6728
0.5006 0.0011 0.6840
0.9262 0.3191 0.5645
0.4394 0.3588 0.0726
0.0437 0.0874 0.8199
0.3928 0.3191 0.5645
0.9563 0.9126 0.1801
0.4994 0.9989 0.3160
0.0738 0.6809 0.4355
0.6072 0.6809 0.4355
0.5606 0.6412 0.9274
0.0806 0.6412 0.9274
0.9194 0.3588 0.0726
0.2884 0.0000 0.0000
0.7116 0.0000 0.0000
```

## Properties
The calculation puts the density of states at the Fermi level at 6.6 states/eV per cell. The value obtained for the energy of formation from the pure elements is 0.052 eV per atom.


A plane-wave DFT calculation with GGA-PBE was carried out for a geometry-optimized Ho5HfMg4 structure.

```
Ho5HfMg4
1.0
3.5192 0.0000 0.0000
0.0000 3.5192 0.0000
0.0000 0.0000 21.7494
Ho Mg Hf
5 4 1
direct
0.5000 0.5000 0.0996
0.5000 0.5000 0.6938
0.5000 0.5000 0.9004
0.5000 0.5000 0.5000
0.5000 0.5000 0.3062
0.0000 0.0000 0.5967
0.0000 0.0000 0.2056
0.0000 0.0000 0.7944
0.0000 0.0000 0.4033
0.0000 0.0000 0.0000
```

## Properties
The calculation puts the density of states at the Fermi level at 11.8 states/eV per cell. The value obtained for the energy of formation from the pure elements is -0.017 eV per atom.


A plane-wave DFT calculation with GGA-PBE was carried out for a geometry-optimized CaPdO structure.

```
CaPdO
1.0
3.6180 -0.0005 -0.0005
1.4373 2.8763 0.0000
0.1480 -1.8575 9.5364
O Ca Pd
2 2 2
direct
0.9227 0.8762 0.8080
0.6343 0.8734 0.5093
0.5576 0.5049 0.6971
0.0400 0.1097 0.3882
0.9207 0.4544 0.9638
0.5074 0.2533 0.1467
```

## Properties
The calculation puts the density of states at the Fermi level at 1.3 states/eV per cell. The raw formation energy is -1435 meV/atom.


A plane-wave DFT calculation with GGA-PBE was carried out for a geometry-optimized NbOs3Br structure.

```
NbOs3Br
1.0
-2.6747 1.1295 -3.4701
-2.7666 -3.4333 1.0149
-2.3798 2.7218 2.7202
Os Nb Br
3 1 1
direct
0.5000 0.0000 0.0000
0.0000 0.0000 0.5000
0.0000 0.5000 0.0000
0.5000 0.5000 0.5000
0.0000 0.0000 0.0000
```

## Properties
The calculation puts the density of states at the Fermi level at 6.8 states/eV per cell. The raw formation energy is 2204 meV/atom. For the energy above the most stable polymorph in this dataset, the calculation gives 0.0 meV per atom.


A plane-wave DFT calculation with GGA-PBE was carried out for a geometry-optimized ErScPd2 structure.

```
ErScPd2
1.0
-1.7435 1.8419 -2.1555
-3.3266 0.8598 3.4255
2.4524 3.9486 1.3905
Sc Pd Er
1 2 1
direct
0.5000 0.0000 0.0000
0.0000 0.5000 0.0000
0.0000 0.0000 0.5000
0.5000 0.5000 0.5000
```

## Properties
The calculation puts the density of states at the Fermi level at 1.7 states/eV per cell. For the energy above the most stable polymorph in this dataset, the calculation gives 21.0 meV per atom. The value obtained for the energy of formation from the pure elements is -0.898 eV per atom.


A plane-wave DFT calculation with GGA-PBE was carried out for a geometry-optimized RbHg2TeO4 structure.

```
RbHg2TeO4
1.0
7.5252 -1.3507 -0.1056
-1.3560 7.5243 -0.1056
-3.1172 -3.1193 6.0354
Rb Hg O Te
2 4 8 2
direct
0.0000 0.5000 0.0000
0.0000 0.5000 0.5000
0.5000 0.5000 0.0000
0.5000 0.0000 0.5000
0.0000 0.0000 0.5000
0.5000 0.0000 0.0000
0.1936 0.8633 0.9528
0.6367 0.3064 0.5472
0.9476 0.8528 0.1849
0.0524 0.1472 0.8151
0.8064 0.1367 0.0472
0.3633 0.6936 0.4528
0.6471 0.5524 0.3151
0.3528 0.4476 0.6849
0.0000 0.0000 0.0000
0.5000 0.5000 0.5000
```

## Properties
The calculation puts the density of states at the Fermi level at 2.1 states/eV per cell. The raw formation energy is -690 meV/atom.


A plane-wave DFT calculation with GGA-PBE was carried out for a geometry-optimized Pt7RhW2 structure.

```
Pt7RhW2
1.0
-2.0871 -3.4345 -0.0037
6.0997 -3.7038 -2.6874
-1.4882 0.8964 7.4248
W Pt Rh
2 7 1
direct
0.5000 0.3050 0.6950
0.5000 0.6950 0.3050
0.5000 0.7028 0.9149
0.5000 0.0851 0.2972
0.0000 0.1988 0.8012
0.0000 0.8012 0.1988
0.5000 0.5000 0.5000
0.5000 0.9149 0.7028
0.5000 0.2972 0.0851
0.0000 0.0000 0.0000
```

## Properties
The calculation puts the density of states at the Fermi level at 11.7 states/eV per cell. The value obtained for the energy of formation from the pure elements is 0.343 eV per atom.